P.
DFT (PBE) results for a relaxed Te2HRu crystal.

mass density: 8.8 Mg/m³
N(E_F): 0.459 states/eV per atom

```
data_Te2HRu
_chemical_formula_sum 'Te8 H4 Ru4'
_cell_length_a 6.459
_cell_length_b 6.459
_cell_length_c 6.459
_cell_angle_alpha 90.00
_cell_angle_beta 90.00
_cell_angle_gamma 90.00
_symmetry_space_group_name_H-M 'F m -3 m'
_symmetry_Int_Tables_number 225
_symmetry_space_group_name_Hall '-F 4 2 3'
loop_
_atom_site_label
_atom_site_type_symbol
_atom_site_fract_x
_atom_site_fract_y
_atom_site_fract_z
Te1 Te 0.250 0.250 0.250
H1 H 0.000 0.000 0.000
Ru1 Ru 0.000 0.000 0.500
```

***

Q.
DFT (PBE) results for a relaxed Te2HRu crystal.

mass density: 6.8 Mg/m³
N(E_F): 0.802 states/eV per atom

```
data_Te2HRu
_chemical_formula_sum 'Te8 H4 Ru4'
_cell_length_a 5.682
_cell_length_b 5.682
_cell_length_c 10.741
_cell_angle_alpha 90.00
_cell_angle_beta 90.00
_cell_angle_gamma 90.00
_symmetry_space_group_name_H-M 'I -4 2 d'
_symmetry_Int_Tables_number 122
_symmetry_space_group_name_Hall 'I -4 2bw'
loop_
_atom_site_label
_atom_site_type_symbol
_atom_site_fract_x
_atom_site_fract_y
_atom_site_fract_z
Te1 Te 0.218 0.250 0.125
H1 H 0.000 0.000 0.000
Ru1 Ru 0.000 0.000 0.500
```

***

Which one sits at the bottom of the stability order? Q does.